(1)
Below is a relaxed BaSiPt crystal, with properties calculated at the PBE level.

Unit cell a=5.092 b=5.092 c=5.092 alpha=60.00 beta=60.00 gamma=60.00
Fractional coordinates of all 3 atoms:
Ba (0.000, 0.000, 0.000)
Si (0.750, 0.750, 0.750)
Pt (0.250, 0.250, 0.250)

Computed properties:
- crystal system = cubic
- V (Å³/cell) = 93
- DOS at the Fermi energy (states/eV/atom) = 1.083
- total energy (eV per cell) = -11.3

=====

(2)
Below is a relaxed BaSi2Pt crystal, with properties calculated at the PBE level.

Unit cell a=3.467 b=3.467 c=7.103 alpha=90.00 beta=90.00 gamma=90.00
Fractional coordinates of all 4 atoms:
Ba (0.000, 0.000, 0.000)
Si (0.500, 0.500, 0.335)
Si (0.500, 0.500, 0.665)
Pt (0.000, 0.000, 0.500)

Computed properties:
- crystal system = tetragonal
- V (Å³/cell) = 85
- DOS at the Fermi energy (states/eV/atom) = 0.655
- total energy (eV per cell) = -19.6

=====

(3)
Below is a relaxed Ba2SiPt crystal, with properties calculated at the PBE level.

Unit cell a=4.379 b=4.379 c=9.271 alpha=103.13 beta=103.13 gamma=59.98
Fractional coordinates of all 4 atoms:
Ba (0.000, 0.000, 0.000)
Ba (0.157, 0.157, 0.489)
Si (0.412, 0.412, 0.244)
Pt (0.745, 0.745, 0.245)

Computed properties:
- crystal system = monoclinic
- V (Å³/cell) = 149
- DOS at the Fermi energy (states/eV/atom) = 0.758
- total energy (eV per cell) = -18.0

=====

(4)
Below is a relaxed Ba2Si12Pt7 crystal, with properties calculated at the PBE level.

Unit cell a=10.084 b=10.084 c=4.182 alpha=90.00 beta=90.00 gamma=120.00
Fractional coordinates of all 21 atoms:
Ba (0.333, 0.667, 0.255)
Ba (0.667, 0.333, 0.745)
Si (0.069, 0.436, 0.735)
Si (0.128, 0.868, 0.267)
Si (0.132, 0.261, 0.267)
Si (0.261, 0.128, 0.733)
Si (0.366, 0.931, 0.735)
Si (0.436, 0.366, 0.265)
Si (0.564, 0.634, 0.735)
Si (0.634, 0.069, 0.265)
Si (0.739, 0.872, 0.267)
Si (0.868, 0.739, 0.733)
Si (0.872, 0.132, 0.733)
Si (0.931, 0.564, 0.265)
Pt (0.000, 0.000, 0.500)
Pt (0.083, 0.695, 0.775)
Pt (0.305, 0.388, 0.775)
Pt (0.388, 0.083, 0.225)
Pt (0.612, 0.917, 0.775)
Pt (0.695, 0.612, 0.225)
Pt (0.917, 0.305, 0.225)

Computed properties:
- crystal system = trigonal
- V (Å³/cell) = 368
- DOS at the Fermi energy (states/eV/atom) = 0.394
- total energy (eV per cell) = -122.1